No. 1
AcAlGeBr | PBE | relaxed

For the density of states at the Fermi level, the calculation gives 12.1 states/eV/cell. The calculation puts the raw formation energy at -0.943 eV per atom.

The space group is R-3m (No. 166, hexagonal axes) and the conventional cell measures 4.4434, 4.4434 and 42.9819 Å, with angles of 90.00, 90.00 and 120.00 degrees. The inequivalent atoms are Ac at (0.0000, 0.0000, 0.0806), Al at (0.0000, 0.0000, 0.3101), Ge at (0.0000, 0.0000, 0.3694) and Br at (0.0000, 0.0000, 0.2083).



No. 2
AcLaAlBr | PBE | relaxed

For the density of states at the Fermi level, the calculation gives 16.0 states/eV/cell. The calculation puts the raw formation energy at -0.615 eV per atom.

The space group is F-43m (No. 216) and the conventional cell measures 7.888, 7.888 and 7.888 Å, with angles of 90.00, 90.00 and 90.00 degrees. The inequivalent atoms are Ac at (0.000, 0.000, 0.000), La at (0.000, 0.000, 0.500), Al at (0.250, 0.250, 0.250) and Br at (0.250, 0.250, 0.750).



No. 3
Ac6AlNi2Br3 | PBE | relaxed

For the density of states at the Fermi level, the calculation gives 12.6 states/eV/cell. The calculation puts the raw formation energy at -0.775 eV per atom.

The space group is C2/m (No. 12) and the conventional cell measures 20.585, 4.293 and 9.775 Å, with angles of 90.00, 107.53 and 90.00 degrees. The inequivalent atoms are Ac at (0.017, 0.000, 0.250), Ac at (0.162, 0.500, 0.125), Ac at (0.180, 0.500, 0.553), Al at (0.000, 0.500, 0.000), Ni at (0.170, 0.000, 0.341), Br at (0.000, 0.500, 0.500) and Br at (0.160, 0.000, 0.834).



No. 4
AcAlPtBr | PBE | relaxed

For the density of states at the Fermi level, the calculation gives 14.6 states/eV/cell. The calculation puts the raw formation energy at -1.301 eV per atom.

The space group is R-3m (No. 166, hexagonal axes) and the conventional cell measures 4.4426, 4.4426 and 42.2350 Å, with angles of 90.00, 90.00 and 120.00 degrees. The inequivalent atoms are Ac at (0.0000, 0.0000, 0.0783), Al at (0.0000, 0.0000, 0.3107), Pt at (0.0000, 0.0000, 0.3695) and Br at (0.0000, 0.0000, 0.2080).



No. 5
Ac6AlSi2Br3 | PBE | relaxed

For the density of states at the Fermi level, the calculation gives 12.5 states/eV/cell. The calculation puts the raw formation energy at -0.927 eV per atom.

The space group is C2/m (No. 12) and the conventional cell measures 20.228, 4.581 and 9.325 Å, with angles of 90.00, 102.79 and 90.00 degrees. The inequivalent atoms are Ac at (0.009, 0.000, 0.244), Ac at (0.163, 0.500, 0.106), Ac at (0.175, 0.500, 0.566), Al at (0.000, 0.500, 0.000), Si at (0.168, 0.000, 0.336), Br at (0.000, 0.500, 0.500) and Br at (0.167, 0.000, 0.832).



No. 6
Ac4AlSiBr2 | PBE | relaxed

For the density of states at the Fermi level, the calculation gives 3.9 states/eV/cell. The calculation puts the raw formation energy at -0.865 eV per atom.

The space group is P2/m (No. 10) and the conventional cell measures 7.999, 4.592 and 8.173 Å, with angles of 90.00, 109.45 and 90.00 degrees. The inequivalent atoms are Ac at (0.220, 0.000, 0.236), Ac at (0.227, 0.500, 0.751), Al at (0.000, 0.000, 0.500), Si at (0.000, 0.500, 0.000), Br at (0.500, 0.000, 0.000) and Br at (0.500, 0.500, 0.500).



No. 7
AcAlSiBr | PBE | relaxed

For the density of states at the Fermi level, the calculation gives 12.7 states/eV/cell. The calculation puts the raw formation energy at -0.909 eV per atom.

The space group is R-3m (No. 166, hexagonal axes) and the conventional cell measures 4.3710, 4.3710 and 43.5443 Å, with angles of 90.00, 90.00 and 120.00 degrees. The inequivalent atoms are Ac at (0.0000, 0.0000, 0.0793), Al at (0.0000, 0.0000, 0.3108), Si at (0.0000, 0.0000, 0.3685) and Br at (0.0000, 0.0000, 0.2093).



No. 8
AcAlC | PBE | relaxed

For the density of states at the Fermi level, the calculation gives 4.5 states/eV/cell. Its calculated formation energy is 29.95 kJ/mol of atoms.

The space group is P-1 (No. 2) and the conventional cell measures 3.499, 4.753 and 8.837 Å, with angles of 88.38, 84.33 and 75.84 degrees. The inequivalent atoms are Ac at (0.194, 0.260, 0.201), Al at (0.164, 0.215, 0.573) and C at (0.446, 0.478, 0.425).



| no. | VASP energy (eV per atom) |
| --- | --- |
| 1 | -4.479 |
| 2 | -4.228 |
| 3 | -4.523 |
| 4 | -5.192 |
| 5 | -4.615 |
| 6 | -4.483 |
| 7 | -4.645 |
| 8 | -5.381 |